## CaPt2W (PBEsol)

Data for crystalline CaPt2W at its relaxed geometry.

```
CaPt2W
1.0
2.787 0.000 0.000
0.000 4.154 0.000
0.000 0.000 6.139
Pt W Ca
2 1 1
Direct
0.500 0.500 0.278
0.000 0.000 0.012
0.000 0.000 0.433
0.500 0.500 0.777
```

Properties
total moment	0.00	μB/f.u.
DFT formation energy	-15	meV per atom